Density functional theory data (PBE) for a relaxed structure of Pa2I8Br.

Summary:
Volume: 59.19 Å³ per atom
E: -3.98 eV/atom
Fermi-level density of states: 0.50 states/eV/atom
Energy relative to the lowest polymorph listed for this composition: 0.000 eV per atom
Formation energy from raw total energies: -10.67 eV per formula unit
Theoretical density: 3.97 g/cm³

a b c (Å): 10.0178 13.9567 9.3169
angles (deg): 90.00 91.53 90.00
Closest atoms and distances in Å follow each position.
Space group C2/m (No. 12)
One atom of each set of equivalent atoms:
Pa1 0.1080 0.0000 0.2893 (multiplicity 4)  1 Br 2.88, 5 I 2.90-3.13
I1 0.0951 0.2081 0.2840 (multiplicity 8)  1 Pa 2.91
I2 0.1139 0.5000 0.7881 (multiplicity 4)  1 Pa 2.90
I3 0.1875 0.0000 0.6087 (multiplicity 4)  2 Pa 3.06-3.13
Br1 0.0000 0.0000 0.0000 (multiplicity 2)  2 Pa 2.88